Entry from the Alexandria database: a relaxed ZrZnBr crystal (GGA-PBE).

Output
Magnetization: 0.00 μB per atom
Space group: No. 156
Final energy: -4.25 eV/atom
Energy relative to the lowest polymorph listed for this composition: 0.00 eV per formula unit

```
3
Lattice="3.4045 0.0000 0.0000 -1.7023 2.9484 0.0000 0.0000 0.0000 7.2262" Properties=species:S:1:pos:R:3 pbc="T T T"
Br 0.0000 0.0000 6.7918
Zn 1.7023 0.9828 2.7973
Zr 0.0000 1.9656 4.8632
```